DFT (PBE) results for a relaxed Th2ZnIr crystal.

Structure (POSCAR):
```
Th2ZnIr
1.0
3.681 0.000 0.000
0.000 3.681 0.000
0.000 0.000 7.065
Th Zn Ir
2 1 1
Cartesian
0.000 0.000 1.651
0.000 0.000 5.414
1.840 1.840 3.533
1.840 1.840 0.000
```

Calculated values
Raw total energy ... -6.720 eV per atom
Magnetization ... 0.0 μB per formula unit
Space-group type ... No. 123



DFT (PBE) results for a relaxed Na2SnSe2 crystal.

Structure (POSCAR):
```
Na2SnSe2
1.0
2.014 -10.508 0.000
2.014 10.508 0.000
0.000 0.000 6.429
Na Sn Se
4 2 4
Cartesian
2.014 10.162 3.215
2.014 6.643 1.842
2.014 -6.643 5.057
2.014 -10.162 0.000
2.014 2.391 1.997
2.014 -2.391 5.212
2.014 6.285 5.162
2.014 1.639 4.598
2.014 -1.639 1.384
2.014 -6.285 1.948
```

Calculated values
Raw total energy ... -3.502 eV per atom
Magnetization ... 0.0 μB per formula unit
Uncorrected formation energy ... -3.90 eV per formula unit
Space-group type ... No. 36



Q: Look up the raw total energy of the second one.
A: -3.502 eV per atom